Record 1
The following is a PBE calculation of an optimized crystal structure of B3PdPb, from the Alexandria database.

For the total energy, the calculation gives -3.182 eV/atom. The calculation puts the calculated formation energy at 13.026 eV/f.u.

The space group is Pm-3m (No. 221) and the conventional cell measures 4.5837, 4.5837 and 4.5837 Å, with angles of 90.00, 90.00 and 90.00 degrees. The inequivalent atoms are B at (0.0000, 0.0000, 0.5000), Pd at (0.5000, 0.5000, 0.5000) and Pb at (0.0000, 0.0000, 0.0000).

=====

Record 2
The following is a PBE calculation of an optimized crystal structure of BPd5Pb, from the Alexandria database.

For the total energy, the calculation gives -5.354 eV/atom. The calculation puts the calculated formation energy at -1.129 eV/f.u.

The space group is P4/mmm (No. 123) and the conventional cell measures 3.9146, 3.9146 and 7.0520 Å, with angles of 90.00, 90.00 and 90.00 degrees. The inequivalent atoms are B at (0.0000, 0.0000, 0.0000), Pd at (0.0000, 0.0000, 0.5000), Pd at (0.0000, 0.5000, 0.1871) and Pb at (0.5000, 0.5000, 0.5000).

=====

Record 3
The following is a PBE calculation of an optimized crystal structure of B2PdPb, from the Alexandria database.

For the total energy, the calculation gives -4.955 eV/atom. The calculation puts the calculated formation energy at 2.438 eV/f.u.

The space group is I4_1/amd (No. 141, origin choice 2) and the conventional cell measures 4.0058, 4.0058 and 15.4147 Å, with angles of 90.00, 90.00 and 90.00 degrees. The inequivalent atoms are B at (0.0000, 0.0000, 0.0000), Pd at (0.0000, 0.2500, 0.8750) and Pb at (0.0000, 0.2500, 0.3750).

=====

Record 4
The following is a PBE calculation of an optimized crystal structure of BPd8Pb2, from the Alexandria database.

For the total energy, the calculation gives -5.243 eV/atom. The calculation puts the calculated formation energy at -2.042 eV/f.u.

The space group is C2/m (No. 12) and the conventional cell measures 14.5299, 4.6884 and 5.7659 Å, with angles of 90.00, 113.31 and 90.00 degrees. The inequivalent atoms are B at (0.0000, 0.0000, 0.0000), Pd at (0.0000, 0.5000, 0.2372), Pd at (0.1146, 0.0000, 0.3611), Pd at (0.1146, 0.0000, 0.8679), Pd at (0.1916, 0.5000, 0.1917) and Pb at (0.1827, 0.5000, 0.6825).

=====

Record 5
The following is a PBE calculation of an optimized crystal structure of B3PdPb, from the Alexandria database.

For the total energy, the calculation gives -4.448 eV/atom. The calculation puts the calculated formation energy at 6.695 eV/f.u.

The space group is Pm-3m (No. 221) and the conventional cell measures 4.2320, 4.2320 and 4.2320 Å, with angles of 90.00, 90.00 and 90.00 degrees. The inequivalent atoms are B at (0.0000, 0.0000, 0.5000), Pd at (0.0000, 0.0000, 0.0000) and Pb at (0.5000, 0.5000, 0.5000).

=====

Record 6
The following is a PBE calculation of an optimized crystal structure of BPd2Pt4Pb2, from the Alexandria database.

For the total energy, the calculation gives -5.594 eV/atom. The calculation puts the calculated formation energy at -1.702 eV/f.u.

The space group is I4/mmm (No. 139) and the conventional cell measures 5.8087, 5.8087 and 9.0521 Å, with angles of 90.00, 90.00 and 90.00 degrees. The inequivalent atoms are B at (0.0000, 0.0000, 0.0000), Pd at (0.0000, 0.0000, 0.2552), Pt at (0.2439, 0.2439, 0.5000) and Pb at (0.0000, 0.5000, 0.2500).